Entry 1:
{
  "formula": "UAlZn",
  "functional": "PBE",
  "state": "optimized geometry",
  "energy_ev_per_atom": -5.073,
  "lattice": [[0.0000, 3.1777, 3.1777], [3.1777, 0.0000, 3.1777], [3.1777, 3.1777, 0.0000]],
  "species": ["U", "Al", "Zn"],
  "fractional_positions": [[0.0000, 0.0000, 0.0000], [0.5000, 0.5000, 0.5000], [0.7500, 0.7500, 0.7500]]
}

***

Entry 2:
{
  "formula": "ZrUAl",
  "functional": "PBE",
  "state": "optimized geometry",
  "energy_ev_per_atom": -6.763,
  "lattice": [[0.0000, 3.4158, 3.4158], [3.4158, 0.0000, 3.4158], [3.4158, 3.4158, 0.0000]],
  "species": ["Zr", "U", "Al"],
  "fractional_positions": [[0.0000, 0.0000, 0.0000], [0.7500, 0.7500, 0.7500], [0.5000, 0.5000, 0.5000]]
}

***

Entry 3:
{
  "formula": "ZrUAl",
  "functional": "PBE",
  "state": "optimized geometry",
  "energy_ev_per_atom": -7.269,
  "lattice": [[0.0000, 3.3494, 3.3494], [3.3494, 0.0000, 3.3494], [3.3494, 3.3494, 0.0000]],
  "species": ["Zr", "U", "Al"],
  "fractional_positions": [[0.0000, 0.0000, 0.0000], [0.5000, 0.5000, 0.5000], [0.7500, 0.7500, 0.7500]]
}